(1)
Density functional theory data (GGA-PBE) for crystalline KBa4Nb3O12 at its relaxed geometry.

E_tot = -151.10 eV per formula unit
Formation energy without anion corrections = -253.8 kJ per mole of atoms
Theoretical density = 5.61 g/cm3
DOS at the Fermi energy = 0.000 states/eV per atom

Cell lengths 7.411, 7.411, 7.411 Å; angles 109.47, 109.47, 109.47 degrees
Positions (direct):
K (0.000, 0.000, 0.000)
Ba (0.000, 0.000, 0.500)
Ba (0.000, 0.500, 0.000)
Ba (0.500, 0.000, 0.000)
Ba (0.500, 0.500, 0.500)
Nb (0.000, 0.500, 0.500)
Nb (0.500, 0.000, 0.500)
Nb (0.500, 0.500, 0.000)
O (0.000, 0.278, 0.278)
O (0.000, 0.722, 0.722)
O (0.250, 0.500, 0.750)
O (0.250, 0.750, 0.500)
O (0.278, 0.000, 0.278)
O (0.278, 0.278, 0.000)
O (0.500, 0.250, 0.750)
O (0.500, 0.750, 0.250)
O (0.722, 0.000, 0.722)
O (0.722, 0.722, 0.000)
O (0.750, 0.250, 0.500)
O (0.750, 0.500, 0.250)

=====

(2)
Density functional theory data (GGA-PBE) for crystalline KVBr3 at its relaxed geometry.

E_tot = -21.08 eV per formula unit
Formation energy without anion corrections = -112.8 kJ per mole of atoms
Theoretical density = 3.55 g/cm3

Cell lengths 7.410, 7.410, 6.600 Å; angles 95.38, 95.38, 120.00 degrees
Positions (direct):
K (0.175, 0.825, 0.750)
K (0.825, 0.175, 0.250)
V (0.500, 0.500, 0.000)
V (0.500, 0.500, 0.500)
Br (0.174, 0.334, 0.696)
Br (0.334, 0.174, 0.196)
Br (0.339, 0.661, 0.250)
Br (0.661, 0.339, 0.750)
Br (0.666, 0.826, 0.804)
Br (0.826, 0.666, 0.304)

=====

(3)
Density functional theory data (GGA-PBE) for crystalline FeRe2Ag at its relaxed geometry.

E_tot = -34.79 eV per formula unit
Theoretical density = 15.11 g/cm3
DOS at the Fermi energy = 0.873 states/eV per atom
Energy of formation from the pure elements = 0.3549 eV/atom
Polymorph energy (0 for the lowest one) = 69 meV per atom

Cell lengths 9.278, 9.278, 9.278 Å; angles 16.91, 16.91, 16.91 degrees
Positions (direct):
Fe (0.000, 0.000, 0.000)
Re (0.259, 0.259, 0.259)
Re (0.741, 0.741, 0.741)
Ag (0.500, 0.500, 0.500)

=====

(4)
Density functional theory data (GGA-PBE) for crystalline HfCrAsC2 at its relaxed geometry.

E_tot = -38.41 eV per formula unit
Theoretical density = 7.78 g/cm3
DOS at the Fermi energy = 0.821 states/eV per atom
Energy of formation from the pure elements = 0.8525 eV/atom

Cell lengths 3.782, 3.782, 4.917 Å; angles 90.00, 90.00, 90.00 degrees
Positions (direct):
Hf (0.000, 0.000, 0.000)
Cr (0.500, 0.500, 0.500)
As (0.500, 0.500, 0.000)
C (0.000, 0.500, 0.500)
C (0.500, 0.000, 0.500)

=====

(5)
Density functional theory data (GGA-PBE) for crystalline Sc2GaN3 at its relaxed geometry.

E_tot = -47.22 eV per formula unit
Formation energy without anion corrections = -105.4 kJ per mole of atoms
Theoretical density = 4.50 g/cm3
DOS at the Fermi energy = 0.000 states/eV per atom

Cell lengths 5.612, 5.612, 11.088 Å; angles 93.49, 93.49, 120.90 degrees
Positions (direct):
Sc (0.019, 0.437, 0.863)
Sc (0.080, 0.307, 0.432)
Sc (0.307, 0.080, 0.932)
Sc (0.437, 0.019, 0.363)
Sc (0.563, 0.981, 0.637)
Sc (0.693, 0.920, 0.068)
Sc (0.920, 0.693, 0.568)
Sc (0.981, 0.563, 0.137)
Ga (0.276, 0.282, 0.665)
Ga (0.282, 0.276, 0.165)
Ga (0.718, 0.724, 0.835)
Ga (0.724, 0.718, 0.335)
N (0.039, 0.961, 0.250)
N (0.066, 0.280, 0.022)
N (0.202, 0.558, 0.610)
N (0.280, 0.066, 0.522)
N (0.370, 0.630, 0.250)
N (0.442, 0.798, 0.890)
N (0.558, 0.202, 0.110)
N (0.630, 0.370, 0.750)
N (0.720, 0.934, 0.478)
N (0.798, 0.442, 0.390)
N (0.934, 0.720, 0.978)
N (0.961, 0.039, 0.750)

=====

(6)
Density functional theory data (GGA-PBE) for crystalline TbPrNd2Tm4 at its relaxed geometry.

E_tot = -33.51 eV per formula unit
Theoretical density = 7.90 g/cm3
DOS at the Fermi energy = 2.450 states/eV per atom
Energy of formation from the pure elements = 0.4156 eV/atom

Cell lengths 9.507, 9.507, 9.507 Å; angles 138.21, 102.92, 91.77 degrees
Positions (direct):
Tb (0.500, 0.000, 0.000)
Tb (0.500, 0.500, 0.500)
Pr (0.000, 0.000, 0.000)
Pr (0.500, 0.000, 0.500)
Nd (0.000, 0.000, 0.500)
Nd (0.000, 0.500, 0.000)
Nd (0.000, 0.500, 0.500)
Nd (0.500, 0.500, 0.000)
Tm (0.253, 0.250, 0.003)
Tm (0.253, 0.253, 0.500)
Tm (0.253, 0.750, 0.503)
Tm (0.253, 0.753, 0.000)
Tm (0.747, 0.247, 0.000)
Tm (0.747, 0.250, 0.497)
Tm (0.747, 0.747, 0.500)
Tm (0.747, 0.750, 0.997)

=====

(7)
Density functional theory data (GGA-PBE) for crystalline PtAuOF2 at its relaxed geometry.

E_tot = -16.20 eV per formula unit
Formation energy without anion corrections = 35.2 kJ per mole of atoms
Theoretical density = 9.69 g/cm3
DOS at the Fermi energy = 0.979 states/eV per atom
Polymorph energy (0 for the lowest one) = 597 meV per atom

Cell lengths 4.284, 4.284, 4.167 Å; angles 90.00, 90.00, 90.00 degrees
Positions (direct):
Pt (0.000, 0.000, 0.000)
Au (0.500, 0.500, 0.500)
O (0.500, 0.500, 0.000)
F (0.000, 0.500, 0.500)
F (0.500, 0.000, 0.500)

=====

(8)
Density functional theory data (GGA-PBE) for crystalline Tb5S6 at its relaxed geometry.

E_tot = -70.80 eV per formula unit
Formation energy without anion corrections = -200.7 kJ per mole of atoms
Theoretical density = 6.42 g/cm3
DOS at the Fermi energy = 0.364 states/eV per atom

Cell lengths 6.790, 6.790, 6.769 Å; angles 99.64, 99.64, 119.81 degrees
Positions (direct):
Tb (0.000, 0.000, 0.000)
Tb (0.166, 0.834, 0.500)
Tb (0.337, 0.663, 0.000)
Tb (0.663, 0.337, 0.000)
Tb (0.834, 0.166, 0.500)
S (0.082, 0.416, 0.249)
S (0.250, 0.250, 0.746)
S (0.416, 0.082, 0.249)
S (0.584, 0.918, 0.751)
S (0.750, 0.750, 0.254)
S (0.918, 0.584, 0.751)

=====

(9)
Density functional theory data (GGA-PBE) for crystalline La4TlAg2Pt at its relaxed geometry.

E_tot = -38.08 eV per formula unit
Theoretical density = 8.76 g/cm3
DOS at the Fermi energy = 0.860 states/eV per atom
Energy of formation from the pure elements = -0.5331 eV/atom

Cell lengths 9.272, 9.272, 9.272 Å; angles 33.99, 33.99, 33.99 degrees
Positions (direct):
La (0.114, 0.114, 0.114)
La (0.367, 0.367, 0.367)
La (0.633, 0.633, 0.633)
La (0.886, 0.886, 0.886)
Tl (0.500, 0.500, 0.500)
Ag (0.239, 0.239, 0.239)
Ag (0.761, 0.761, 0.761)
Pt (0.000, 0.000, 0.000)

=====

(10)
Density functional theory data (GGA-PBE) for crystalline Sc5Pb at its relaxed geometry.

E_tot = -36.33 eV per formula unit
Theoretical density = 4.92 g/cm3
DOS at the Fermi energy = 1.431 states/eV per atom
Energy of formation from the pure elements = -0.1607 eV/atom

Cell lengths 6.144, 6.144, 7.642 Å; angles 104.14, 104.14, 31.47 degrees
Positions (direct):
Sc (0.000, 0.000, 0.000)
Sc (0.040, 0.040, 0.606)
Sc (0.391, 0.391, 0.269)
Sc (0.663, 0.663, 0.333)
Sc (0.715, 0.715, 0.940)
Pb (0.323, 0.323, 0.660)

=====

(11)
Density functional theory data (GGA-PBE) for crystalline SnAs2Au2 at its relaxed geometry.

E_tot = -18.92 eV per formula unit
Theoretical density = 10.33 g/cm3
DOS at the Fermi energy = 0.374 states/eV per atom
Energy of formation from the pure elements = 0.1881 eV/atom
Polymorph energy (0 for the lowest one) = 68 meV per atom

Cell lengths 8.434, 8.434, 2.995 Å; angles 90.00, 90.00, 90.00 degrees
Positions (direct):
Sn (0.000, 0.000, 0.000)
Sn (0.500, 0.500, 0.000)
As (0.196, 0.304, 0.000)
As (0.304, 0.804, 0.000)
As (0.696, 0.196, 0.000)
As (0.804, 0.696, 0.000)
Au (0.116, 0.616, 0.500)
Au (0.384, 0.116, 0.500)
Au (0.616, 0.884, 0.500)
Au (0.884, 0.384, 0.500)

=====

(12)
Density functional theory data (GGA-PBE) for crystalline LaDy2Rh at its relaxed geometry.

E_tot = -21.93 eV per formula unit
Theoretical density = 9.62 g/cm3
DOS at the Fermi energy = 1.348 states/eV per atom
Energy of formation from the pure elements = -0.1127 eV/atom
Polymorph energy (0 for the lowest one) = 392 meV per atom

Cell lengths 5.107, 5.107, 5.107 Å; angles 61.75, 61.75, 61.75 degrees
Positions (direct):
La (0.000, 0.000, 0.000)
Dy (0.254, 0.254, 0.254)
Dy (0.746, 0.746, 0.746)
Rh (0.500, 0.500, 0.500)

=====

Among the records above, which one has the lowest theoretical density? KVBr3

=====

Which formula does entry 9 have? La4TlAg2Pt